#A
Sm2PtBr | the Alexandria database | PBE | relaxed; density of states at the Fermi level = 2.9 states/eV per cell; total magnetic moment = 0.0 μB/f.u.
1.0
2.083 1.203 7.813
-2.083 1.203 7.813
0.000 -2.406 7.813
Sm Pt Br
2 1 1
Cartesian
0.000 0.000 0.000 Sm
0.000 0.000 4.782 Sm
0.000 0.000 14.106 Pt
0.000 0.000 10.122 Br

#B
Sm2PtBr | the Alexandria database | PBE | relaxed; density of states at the Fermi level = 2.8 states/eV per cell; total magnetic moment = 0.0 μB/f.u.
1.0
2.088 1.206 7.673
-2.088 1.206 7.673
0.000 -2.411 7.673
Sm Pt Br
2 1 1
Cartesian
0.000 0.000 5.353 Sm
0.000 0.000 17.667 Sm
0.000 0.000 11.510 Pt
0.000 0.000 0.000 Br

#B takes first place; second place is 24 meV per atom up.

#A
SrPtBr3 | the Alexandria database | PBE | relaxed; density of states at the Fermi level = 25.1 states/eV per cell; total magnetic moment = 1.0 μB/f.u.
1.0
5.878 0.000 0.000
0.000 5.878 0.000
0.000 0.000 5.878
Sr Pt Br
1 1 3
Cartesian
0.000 0.000 0.000 Sr
2.939 2.939 2.939 Pt
0.000 0.000 2.939 Br
0.000 2.939 0.000 Br
2.939 0.000 0.000 Br

#B
SrPtBr3 | the Alexandria database | PBE | relaxed; density of states at the Fermi level = 1.1 states/eV per cell; total magnetic moment = 0.0 μB/f.u.
1.0
5.265 0.000 0.000
0.000 5.265 0.000
0.000 0.000 5.265
Sr Pt Br
1 1 3
Cartesian
0.000 0.000 0.000 Sr
2.632 2.632 2.632 Pt
0.000 2.632 2.632 Br
2.632 0.000 2.632 Br
2.632 2.632 0.000 Br

#B takes first place; second place is 650 meV per atom up.

#A
TaPtBr2 | the Alexandria database | PBE | relaxed; density of states at the Fermi level = 1.7 states/eV per cell; total magnetic moment = 0.0 μB/f.u.
1.0
-2.132 2.132 4.114
2.132 -2.132 4.114
2.132 2.132 -4.114
Ta Pt Br
1 1 2
Cartesian
0.000 0.000 0.000 Ta
0.000 0.000 4.114 Pt
2.132 0.000 2.057 Br
0.000 2.132 2.057 Br

#B
TaPtBr2 | the Alexandria database | PBE | relaxed; density of states at the Fermi level = 8.2 states/eV per cell; total magnetic moment = 0.7 μB/f.u.
1.0
-3.243 3.243 4.628
3.243 -3.243 4.628
3.243 3.243 -4.628
Ta Pt Br
2 2 4
Cartesian
0.000 0.000 0.000 Ta
0.000 3.243 2.314 Ta
3.243 0.000 2.314 Pt
0.000 0.000 4.628 Pt
4.865 1.590 -1.157 Br
1.590 1.622 1.157 Br
-1.622 1.653 3.471 Br
1.653 1.622 5.784 Br

#A takes first place; second place is 340 meV per atom up.

#A
TaPtBr2 | the Alexandria database | PBE | relaxed; density of states at the Fermi level = 2.6 states/eV per cell; total magnetic moment = 0.0 μB/f.u.
1.0
-1.548 2.306 7.491
1.548 -2.306 7.491
1.548 2.306 -7.491
Ta Pt Br
1 1 2
Cartesian
0.000 0.000 0.000 Ta
0.000 0.000 7.491 Pt
1.548 0.000 2.179 Br
0.000 2.306 5.313 Br

#B
TaPtBr2 | the Alexandria database | PBE | relaxed; density of states at the Fermi level = 2.2 states/eV per cell; total magnetic moment = 0.0 μB/f.u.
1.0
3.635 0.000 0.000
0.000 3.320 0.000
-1.808 0.000 8.300
Ta Pt Br
1 1 2
Cartesian
0.000 0.000 0.000 Ta
1.817 1.660 1.147 Pt
0.000 0.000 2.745 Br
1.827 1.660 6.270 Br

#C
TaPtBr2 | the Alexandria database | PBE | relaxed; density of states at the Fermi level = 4.0 states/eV per cell; total magnetic moment = 0.0 μB/f.u.
1.0
3.199 0.000 0.000
0.000 4.628 0.000
-0.200 0.000 5.344
Ta Pt Br
1 1 2
Cartesian
0.000 0.000 0.000 Ta
1.500 0.000 2.672 Pt
0.631 2.314 1.301 Br
2.368 2.314 4.043 Br

#B takes first place; second place is 225 meV per atom up.

#A
TaPtBr2 | the Alexandria database | PBE | relaxed; density of states at the Fermi level = 3.3 states/eV per cell; total magnetic moment = 0.0 μB/f.u.
1.0
3.073 0.000 0.000
0.000 3.073 0.000
0.000 0.000 8.559
Ta Pt Br
1 1 2
Cartesian
0.000 0.000 0.000 Ta
0.000 0.000 4.279 Pt
1.537 1.537 1.684 Br
1.537 1.537 6.875 Br

#B
TaPtBr2 | the Alexandria database | PBE | relaxed; density of states at the Fermi level = 2.8 states/eV per cell; total magnetic moment = 0.3 μB/f.u.
1.0
3.570 -1.681 0.000
3.570 1.681 0.000
-2.339 0.000 8.663
Ta Pt Br
1 1 2
Cartesian
0.000 0.000 0.000 Ta
5.094 0.000 1.380 Pt
0.945 0.000 6.673 Br
3.071 0.000 3.146 Br

#B takes first place; second place is 835 meV per atom up.

#A
TaPt2Br | the Alexandria database | PBE | relaxed; density of states at the Fermi level = 4.4 states/eV per cell; total magnetic moment = 1.0 μB/f.u.
1.0
3.928 0.000 0.000
0.000 3.928 0.000
0.000 0.000 4.529
Ta Pt Br
1 2 1
Cartesian
0.000 0.000 0.000 Ta
0.000 1.964 2.265 Pt
1.964 0.000 2.265 Pt
1.964 1.964 0.000 Br

#B
TaPt2Br | the Alexandria database | PBE | relaxed; density of states at the Fermi level = 0.8 states/eV per cell; total magnetic moment = 0.0 μB/f.u.
1.0
0.000 3.247 3.247
3.247 0.000 3.247
3.247 3.247 0.000
Ta Pt Br
1 2 1
Cartesian
0.000 0.000 0.000 Ta
1.623 1.623 1.623 Pt
3.247 3.247 3.247 Pt
4.870 4.870 4.870 Br

#C
TaPt2Br | the Alexandria database | PBE | relaxed; density of states at the Fermi level = 3.0 states/eV per cell; total magnetic moment = 0.0 μB/f.u.
1.0
-2.171 2.171 3.779
2.171 -2.171 3.779
2.171 2.171 -3.779
Ta Pt Br
1 2 1
Cartesian
0.000 0.000 0.000 Ta
2.171 0.000 1.889 Pt
0.000 2.171 1.889 Pt
0.000 0.000 3.779 Br

#D
TaPt2Br | the Alexandria database | PBE | relaxed; density of states at the Fermi level = 2.7 states/eV per cell; total magnetic moment = 0.0 μB/f.u.
1.0
-1.465 2.408 5.121
1.465 -2.408 5.121
1.465 2.408 -5.121
Ta Pt Br
1 2 1
Cartesian
0.000 0.000 0.000 Ta
1.465 0.000 2.305 Pt
0.000 2.408 2.817 Pt
0.000 0.000 5.121 Br

#D takes first place; second place is 26 meV per atom up.